VASP calculation (PBE-GGA) on a relaxed structure of PrY5Sc.

The density of states at the Fermi level is 22.3 states/eV/cell. For the energy of formation from the pure elements, the calculation gives 20.7 kJ per mole of atoms. The value obtained for the volume is 32.89 A^3/atom. For the total energy, the calculation gives -5.990 eV per atom.

```
PrY5Sc
1.0
6.8061 -0.1789 -1.7004
-2.0972 8.0078 -1.3830
0.1419 0.3633 8.3835
Y Sc Pr
10 2 2
Direct
0.0373 0.1650 0.3929 Y
0.8600 0.2716 0.7172 Y
0.3600 0.2172 0.7716 Y
0.2500 0.3914 0.1086 Y
0.4627 0.1071 0.3350 Y
0.9627 0.8350 0.6071 Y
0.7500 0.6086 0.8914 Y
0.1400 0.7284 0.2828 Y
0.5373 0.8929 0.6650 Y
0.6400 0.7828 0.2284 Y
0.0000 0.0000 0.0000 Sc
0.5000 0.5000 0.5000 Sc
0.7500 0.3454 0.1546 Pr
0.2500 0.6546 0.8454 Pr
```

VASP calculation (PBE-GGA) on a relaxed structure of MgReB2I.

The density of states at the Fermi level is 2.6 states/eV/cell. The value obtained for the volume is 19.59 A^3/atom. As for the formation energy (no corrections): 0.915 eV per atom. For the total energy, the calculation gives -4.875 eV per atom.

```
MgReB2I
1.0
-3.8683 -1.3822 0.5223
0.9577 -4.1276 -3.8301
1.3043 -2.5064 3.0272
I B Re Mg
1 2 1 1
Direct
0.0000 0.5000 0.0000 I
0.0000 0.0000 0.5000 B
0.5000 0.0000 0.0000 B
0.0000 0.0000 0.0000 Re
0.5000 0.5000 0.5000 Mg
```